NaAlZn3 | PBE | optimized geometry

The structure in POSCAR format:
```
NaAlZn3
1.0
5.113 0.000 0.000
0.000 5.113 0.000
0.000 0.000 5.113
Na Zn Al
1 3 1
Cartesian
0.000 0.000 0.000
0.000 2.557 0.000
0.000 0.000 2.557
2.557 0.000 0.000
2.557 2.557 2.557
```

## Properties
The formation energy comes out at 0.8558 eV per atom. As for the symmetry: Pm-3m. For the total energy, the calculation gives -0.921 eV per atom.